{
  "formula": "SrCr2PPb",
  "functional": "PBE",
  "state": "relaxed",
  "volume_a3_per_atom": 25.893,
  "space_group": "No. 123",
  "final_energy_ev_per_atom": -5.73,
  "e_form_ev_per_atom": 0.2797,
  "total_magnetization_mub_per_atom": 1.4428,
  "lattice_angstrom": [[4.7400, 0.0000, 0.0000], [0.0000, 4.7400, 0.0000], [0.0000, 0.0000, 5.7623]],
  "species": ["Sr", "Cr", "Cr", "P", "Pb"],
  "frac_coords": [[0.0000, 0.0000, 0.0000], [0.0000, 0.5000, 0.5000], [0.5000, 0.0000, 0.5000], [0.5000, 0.5000, 0.5000], [0.5000, 0.5000, 0.0000]]
}


{
  "formula": "SrAl2Cr",
  "functional": "PBE",
  "state": "relaxed",
  "volume_a3_per_atom": 22.302,
  "relative_energy_kj_per_mol_atoms": 43.0,
  "space_group": "No. 166",
  "final_energy_ev_per_atom": -4.25,
  "e_form_ev_per_atom": 0.4472,
  "total_magnetization_mub_per_atom": 0.6957,
  "lattice_angstrom": [[3.3504, 0.0000, 0.0000], [-1.6752, 2.9016, 0.0000], [0.0000, 0.0000, 27.5293]],
  "species": ["Sr", "Sr", "Sr", "Al", "Al", "Al", "Al", "Al", "Al", "Cr", "Cr", "Cr"],
  "frac_coords": [[0.0000, 0.0000, 0.0000], [0.3333, 0.6667, 0.6667], [0.6667, 0.3333, 0.3333], [0.0000, 0.0000, 0.2340], [0.0000, 0.0000, 0.7660], [0.3333, 0.6667, 0.4327], [0.3333, 0.6667, 0.9007], [0.6667, 0.3333, 0.0993], [0.6667, 0.3333, 0.5673], [0.0000, 0.0000, 0.5000], [0.3333, 0.6667, 0.1667], [0.6667, 0.3333, 0.8333]]
}